This record from the Open Quantum Materials Database describes an optimized crystal structure of Hf4CuPd. The functional is PBE.

Unit cell a=3.2206 b=3.2206 c=11.0544 alpha=90.00 beta=90.00 gamma=90.00
With the nearest neighbours (Å) after each atom.
Fractional coordinates of all 6 atoms:
1 Cu 0.0000 0.0000 0.0000  8 Hf 2.86
2 Hf 0.0000 0.0000 0.3400  4 Pd 2.88, 8 Hf 3.05-3.22
3 Hf 0.5000 0.5000 0.1558  4 Cu 2.86, 4 Hf 3.05
4 Pd 0.5000 0.5000 0.5000  8 Hf 2.88, 4 Pd 3.22
5 Hf 0.0000 0.0000 0.6600  4 Pd 2.88, 8 Hf 3.05-3.22
6 Hf 0.5000 0.5000 0.8442  4 Cu 2.86, 4 Hf 3.05

Computed properties:
**Space group**: P4/mmm, No. 123
**ΔE_f**: -0.34 eV per atom
**Spin magnetization**: 0.000 μB per atom